This record from Alexandria describes a geometry-optimized Tb4Pm15Tm structure. The functional is GGA-PBE.

The formation energy comes out at 14 meV/atom.

Cell lengths 5.1298, 5.1298, 25.5632 Å; angles 90.00, 90.00, 90.00 degrees
With the nearest neighbours (Å) after each atom.
Space group P4/mmm (No. 123)
Symmetry-distinct sites (fractional):
Tb (0.0000, 0.0000, 0.1001) x2  12 Pm 3.62-3.63
Tb (0.0000, 0.0000, 0.3006) x2  12 Pm 3.62-3.63
Pm (0.0000, 0.5000, 0.0000) x2  8 Pm 3.62-3.63, 4 Tb 3.62
Pm (0.0000, 0.5000, 0.2003) x4  4 Tb 3.62-3.63, 8 Pm 3.63
Pm (0.0000, 0.5000, 0.4008) x4  8 Pm 3.61-3.63, 2 Tm 3.61, 2 Tb 3.62
Pm (0.5000, 0.5000, 0.1001) x2  8 Pm 3.62-3.63, 4 Tb 3.63
Pm (0.5000, 0.5000, 0.3007) x2  8 Pm 3.62-3.63, 4 Tb 3.63
Pm (0.5000, 0.5000, 0.5000) x1  8 Pm 3.61, 4 Tm 3.63
Tm (0.0000, 0.0000, 0.5000) x1  12 Pm 3.61-3.63